Density functional theory data (GGA-PBEsol) for a relaxed Sc2TcCl crystal.

Output
- Size of the total moment: 0.0 μB/cell
- Relative energy among the computed polymorphs: 0.426 eV/atom
- Electronic total energy: -28.0 eV/cell
- DOS at the Fermi energy: 0.46 states/eV per atom

a = 3.7422 Å, b = 3.7422 Å, c = 5.3343 Å
α = 90.00°, β = 90.00°, γ = 90.00°
Sites, in units of the cell vectors:
Sc  0.0000  0.0000  0.9299
Sc  0.5000  0.5000  0.3432
Tc  0.0000  0.0000  0.3765
Cl  0.5000  0.5000  0.8505


Density functional theory data (GGA-PBEsol) for a relaxed ScTc2Cl crystal.

Output
- Size of the total moment: 0.0 μB/cell
- Relative energy among the computed polymorphs: 0.293 eV/atom
- Electronic total energy: -29.0 eV/cell
- DOS at the Fermi energy: 1.04 states/eV per atom

a = 3.0791 Å, b = 4.3884 Å, c = 4.3884 Å
α = 90.00°, β = 90.00°, γ = 90.00°
Sites, in units of the cell vectors:
Sc  0.5000  0.0000  0.0000
Tc  0.0000  0.5000  0.0000
Tc  0.0000  0.0000  0.5000
Cl  0.5000  0.5000  0.5000


Density functional theory data (GGA-PBEsol) for a relaxed ScTc2Cl crystal.

Output
- Size of the total moment: 0.0 μB/cell
- Relative energy among the computed polymorphs: 0.000 eV/atom
- Electronic total energy: -30.2 eV/cell
- DOS at the Fermi energy: 0.74 states/eV per atom

a = 2.9666 Å, b = 4.3905 Å, c = 5.0686 Å
α = 90.00°, β = 90.00°, γ = 90.00°
Sites, in units of the cell vectors:
Cl  0.5000  0.5000  0.0000
Tc  0.0000  0.0000  0.7170
Tc  0.0000  0.0000  0.2830
Sc  0.5000  0.5000  0.5000


Density functional theory data (GGA-PBEsol) for a relaxed ScTcCl crystal.

Output
- Size of the total moment: 0.6 μB/cell
- Relative energy among the computed polymorphs: 0.465 eV/atom
- Electronic total energy: -18.7 eV/cell
- DOS at the Fermi energy: 1.34 states/eV per atom

a = 4.1124 Å, b = 4.1124 Å, c = 4.1124 Å
α = 60.00°, β = 60.00°, γ = 60.00°
Sites, in units of the cell vectors:
Cl  0.7500  0.7500  0.7500
Sc  0.0000  0.0000  0.0000
Tc  0.5000  0.5000  0.5000


Density functional theory data (GGA-PBEsol) for a relaxed ScTcCl crystal.

Output
- Size of the total moment: 0.0 μB/cell
- Relative energy among the computed polymorphs: 0.000 eV/atom
- Electronic total energy: -20.1 eV/cell
- DOS at the Fermi energy: 1.01 states/eV per atom

a = 3.1211 Å, b = 4.1743 Å, c = 4.1743 Å
α = 120.00°, β = 90.00°, γ = 90.00°
Sites, in units of the cell vectors:
Sc  0.0000  0.3333  0.6667
Tc  0.5000  0.6667  0.3333
Cl  0.5000  0.0000  0.0000


Density functional theory data (GGA-PBEsol) for a relaxed Sc2TcCl crystal.

Output
- Size of the total moment: 0.0 μB/cell
- Relative energy among the computed polymorphs: 0.000 eV/atom
- Electronic total energy: -29.7 eV/cell
- DOS at the Fermi energy: 0.37 states/eV per atom

a = 3.1952 Å, b = 3.2917 Å, c = 7.3722 Å
α = 91.64°, β = 90.00°, γ = 90.00°
Sites, in units of the cell vectors:
Sc  0.0000  0.5248  0.7945
Sc  0.0000  0.4752  0.2055
Cl  0.5000  0.5000  0.5000
Tc  0.5000  0.0000  0.0000


Density functional theory data (GGA-PBEsol) for a relaxed Sc2TcCl crystal.

Output
- Size of the total moment: 0.0 μB/cell
- Relative energy among the computed polymorphs: 0.273 eV/atom
- Electronic total energy: -28.6 eV/cell
- DOS at the Fermi energy: 0.54 states/eV per atom

a = 3.3164 Å, b = 3.3164 Å, c = 8.7996 Å
α = 79.14°, β = 79.14°, γ = 60.00°
Sites, in units of the cell vectors:
Sc  0.0957  0.0957  0.7130
Sc  0.9043  0.9043  0.2870
Tc  0.5000  0.5000  0.5000
Cl  0.0000  0.0000  0.0000


Density functional theory data (GGA-PBEsol) for a relaxed ScTeCl crystal.

Output
- Size of the total moment: 0.0 μB/cell
- Electronic total energy: -16.0 eV/cell

a = 4.7828 Å, b = 4.7828 Å, c = 4.7828 Å
α = 60.00°, β = 60.00°, γ = 60.00°
Sites, in units of the cell vectors:
Te  0.0000  0.0000  0.0000
Sc  0.2500  0.2500  0.2500
Cl  0.5000  0.5000  0.5000


Density functional theory data (GGA-PBEsol) for a relaxed ScTe2Cl crystal.

Output
- Size of the total moment: 0.0 μB/cell
- Relative energy among the computed polymorphs: 0.000 eV/atom
- Electronic total energy: -18.7 eV/cell
- DOS at the Fermi energy: 0.41 states/eV per atom

a = 3.6281 Å, b = 5.2872 Å, c = 5.6162 Å
α = 102.92°, β = 108.84°, γ = 90.00°
Sites, in units of the cell vectors:
Sc  0.0000  0.5000  0.0000
Te  0.2857  0.2943  0.5714
Te  0.7143  0.7057  0.4286
Cl  0.5000  0.0000  0.0000


Density functional theory data (GGA-PBEsol) for a relaxed ScTe3Cl crystal.

Output
- Size of the total moment: 0.0 μB/cell
- Electronic total energy: -17.7 eV/cell
- DOS at the Fermi energy: 0.76 states/eV per atom

a = 5.2426 Å, b = 5.2426 Å, c = 5.2426 Å
α = 90.00°, β = 90.00°, γ = 90.00°
Sites, in units of the cell vectors:
Te  0.5000  0.0000  0.0000
Te  0.0000  0.0000  0.5000
Te  0.0000  0.5000  0.0000
Cl  0.0000  0.0000  0.0000
Sc  0.5000  0.5000  0.5000


Density functional theory data (GGA-PBEsol) for a relaxed ScTeCl crystal.

Output
- Size of the total moment: 0.0 μB/cell
- Electronic total energy: -16.7 eV/cell

a = 3.8648 Å, b = 3.8648 Å, c = 6.4356 Å
α = 90.00°, β = 90.00°, γ = 120.00°
Sites, in units of the cell vectors:
Cl  0.0000  0.0000  0.9028
Te  0.6667  0.3333  0.4166
Sc  0.3333  0.6667  0.6806


Density functional theory data (GGA-PBEsol) for a relaxed Sc2TeCl crystal.

Output
- Size of the total moment: 1.0 μB/cell
- Relative energy among the computed polymorphs: 0.152 eV/atom
- Electronic total energy: -22.3 eV/cell
- DOS at the Fermi energy: 1.05 states/eV per atom

a = 3.4454 Å, b = 4.8005 Å, c = 6.0281 Å
α = 113.46°, β = 106.61°, γ = 90.00°
Sites, in units of the cell vectors:
Cl  0.7198  0.2198  0.4395
Sc  0.0239  0.0239  0.0477
Sc  0.2466  0.7466  0.4931
Te  0.5098  0.5098  0.0197


Density functional theory data (GGA-PBEsol) for a relaxed Sc2TeCl crystal.

Output
- Size of the total moment: 0.0 μB/cell
- Relative energy among the computed polymorphs: 0.000 eV/atom
- Electronic total energy: -22.9 eV/cell
- DOS at the Fermi energy: 0.78 states/eV per atom

a = 3.8340 Å, b = 5.1709 Å, c = 5.1709 Å
α = 66.66°, β = 68.24°, γ = 68.24°
Sites, in units of the cell vectors:
Sc  0.7960  0.2040  0.2040
Sc  0.2040  0.7960  0.7960
Te  0.0000  0.5000  0.5000
Cl  0.5000  0.0000  0.0000


Density functional theory data (GGA-PBEsol) for a relaxed Sc2TeCl crystal.

Output
- Size of the total moment: 0.0 μB/cell
- Relative energy among the computed polymorphs: 0.460 eV/atom
- Electronic total energy: -21.1 eV/cell
- DOS at the Fermi energy: 0.97 states/eV per atom

a = 3.8409 Å, b = 3.8409 Å, c = 8.0062 Å
α = 76.12°, β = 76.12°, γ = 60.00°
Sites, in units of the cell vectors:
Cl  0.5000  0.5000  0.5000
Te  0.0000  0.0000  0.0000
Sc  0.8848  0.8848  0.3455
Sc  0.1152  0.1152  0.6545


Density functional theory data (GGA-PBEsol) for a relaxed ScTe2Cl crystal.

Output
- Size of the total moment: 0.0 μB/cell
- Relative energy among the computed polymorphs: 0.131 eV/atom
- Electronic total energy: -18.1 eV/cell
- DOS at the Fermi energy: 0.29 states/eV per atom

a = 4.0356 Å, b = 5.2527 Å, c = 5.2527 Å
α = 115.63°, β = 90.11°, γ = 90.11°
Sites, in units of the cell vectors:
Sc  0.5000  0.0000  0.0000
Te  0.0000  0.5000  0.0000
Te  0.0000  0.0000  0.5000
Cl  0.5000  0.5000  0.5000


Density functional theory data (GGA-PBEsol) for a relaxed ScTiCl2 crystal.

Output
- Size of the total moment: 0.7 μB/cell
- Electronic total energy: -22.6 eV/cell
- DOS at the Fermi energy: 1.06 states/eV per atom

a = 3.1766 Å, b = 3.1766 Å, c = 8.7144 Å
α = 79.50°, β = 79.50°, γ = 60.00°
Sites, in units of the cell vectors:
Cl  0.1014  0.1014  0.6959
Cl  0.8986  0.8986  0.3041
Sc  0.0000  0.0000  0.0000
Ti  0.5000  0.5000  0.5000


Density functional theory data (GGA-PBEsol) for a relaxed ScTiCl3 crystal.

Output
- Size of the total moment: 3.7 μB/cell
- Electronic total energy: -24.7 eV/cell
- DOS at the Fermi energy: 1.20 states/eV per atom

a = 4.7980 Å, b = 4.7980 Å, c = 4.7980 Å
α = 90.00°, β = 90.00°, γ = 90.00°
Sites, in units of the cell vectors:
Cl  0.5000  0.0000  0.0000
Cl  0.0000  0.0000  0.5000
Cl  0.0000  0.5000  0.0000
Ti  0.0000  0.0000  0.0000
Sc  0.5000  0.5000  0.5000


Density functional theory data (GGA-PBEsol) for a relaxed ScTlCl crystal.

Output
- Size of the total moment: 0.0 μB/cell
- Relative energy among the computed polymorphs: 0.000 eV/atom
- Electronic total energy: -13.6 eV/cell
- DOS at the Fermi energy: 0.92 states/eV per atom

a = 3.3306 Å, b = 3.3306 Å, c = 6.3290 Å
α = 105.26°, β = 105.26°, γ = 90.00°
Sites, in units of the cell vectors:
Cl  0.0435  0.0435  0.0871
Sc  0.6319  0.6319  0.2638
Tl  0.3246  0.3246  0.6491


Density functional theory data (GGA-PBEsol) for a relaxed ScTlCl crystal.

Output
- Size of the total moment: 0.0 μB/cell
- Relative energy among the computed polymorphs: 0.598 eV/atom
- Electronic total energy: -11.8 eV/cell
- DOS at the Fermi energy: 1.40 states/eV per atom

a = 4.7356 Å, b = 4.7356 Å, c = 4.7356 Å
α = 60.00°, β = 60.00°, γ = 60.00°
Sites, in units of the cell vectors:
Sc  0.2500  0.2500  0.2500
Cl  0.5000  0.5000  0.5000
Tl  0.0000  0.0000  0.0000


Density functional theory data (GGA-PBEsol) for a relaxed Sc2WCl crystal.

Output
- Size of the total moment: 0.0 μB/cell
- Relative energy among the computed polymorphs: 0.094 eV/atom
- Electronic total energy: -30.5 eV/cell
- DOS at the Fermi energy: 1.00 states/eV per atom

a = 3.1737 Å, b = 3.1737 Å, c = 7.5684 Å
α = 90.00°, β = 90.00°, γ = 90.00°
Sites, in units of the cell vectors:
W  0.5000  0.5000  0.0000
Cl  0.5000  0.5000  0.5000
Sc  0.0000  0.0000  0.7770
Sc  0.0000  0.0000  0.2230